Entry 1:
Crystalline RbNaCr2Cd at its relaxed geometry. Source: the Alexandria database, functional GGA-PBE.

Values from the calculation:
Crystal system = tetragonal
Space group = No. 123
Total DFT energy (no corrections) = -3.18 eV/atom

abc: 5.5783 5.5783 6.2493
angles: 90.00 90.00 90.00
Closest atoms and distances in Å follow each position.
Fractional positions:
Rb1 0.0000 0.0000 0.0000  2 Na 3.12
Na1 0.0000 0.0000 0.5000  4 Cr 2.79
Cr1 0.0000 0.5000 0.5000  2 Na 2.79
Cr2 0.5000 0.0000 0.5000  2 Na 2.79
Cd1 0.5000 0.5000 0.0000  4 Rb 3.94, 8 Cr 4.19

***

Entry 2:
Crystalline NaScCrCd2 at its relaxed geometry. Source: the Alexandria database, functional GGA-PBE.

Values from the calculation:
Crystal system = tetragonal
Space group = No. 123
Total DFT energy (no corrections) = -3.41 eV/atom

abc: 5.2840 5.2840 4.6736
angles: 90.00 90.00 90.00
Closest atoms and distances in Å follow each position.
Fractional positions:
Na1 0.0000 0.0000 0.0000  8 Cd 3.53, 4 Sc 3.74
Sc1 0.5000 0.5000 0.0000  2 Cr 2.34
Cr1 0.5000 0.5000 0.5000  2 Sc 2.34
Cd1 0.0000 0.5000 0.5000  2 Cr 2.64
Cd2 0.5000 0.0000 0.5000  2 Cr 2.64

***

Entry 3:
Crystalline NaSc2CrCd at its relaxed geometry. Source: the Alexandria database, functional GGA-PBE.

Values from the calculation:
Crystal system = tetragonal
Space group = No. 123
Total DFT energy (no corrections) = -3.74 eV/atom

abc: 5.1532 5.1532 4.9042
angles: 90.00 90.00 90.00
Closest atoms and distances in Å follow each position.
Fractional positions:
Na1 0.0000 0.0000 0.0000  2 Cd 2.45, 4 Sc 2.58
Sc1 0.0000 0.5000 0.0000  2 Na 2.58
Sc2 0.5000 0.0000 0.0000  2 Na 2.58
Cr1 0.5000 0.5000 0.5000  8 Sc 3.56, 4 Cd 3.64
Cd1 0.0000 0.0000 0.5000  2 Na 2.45

***

Entry 4:
Crystalline NaSr2CrCd at its relaxed geometry. Source: the Alexandria database, functional GGA-PBE.

Values from the calculation:
Crystal system = tetragonal
Space group = No. 123
Total DFT energy (no corrections) = -2.31 eV/atom

abc: 6.2794 6.2794 5.1522
angles: 90.00 90.00 90.00
Closest atoms and distances in Å follow each position.
Fractional positions:
Na1 0.0000 0.0000 0.0000  2 Cr 2.58
Sr1 0.0000 0.5000 0.0000  2 Na 3.14
Sr2 0.5000 0.0000 0.0000  2 Na 3.14
Cr1 0.0000 0.0000 0.5000  2 Na 2.58
Cd1 0.5000 0.5000 0.5000  8 Sr 4.06, 4 Cr 4.44

***

Entry 5:
Crystalline NaTiCr2Cd at its relaxed geometry. Source: the Alexandria database, functional GGA-PBE.

Values from the calculation:
Crystal system = tetragonal
Space group = No. 123
Total DFT energy (no corrections) = -4.25 eV/atom

abc: 4.8326 4.8326 4.9081
angles: 90.00 90.00 90.00
Closest atoms and distances in Å follow each position.
Fractional positions:
Na1 0.0000 0.0000 0.0000  4 Cr 2.42, 2 Ti 2.45
Ti1 0.0000 0.0000 0.5000  2 Na 2.45
Cr1 0.0000 0.5000 0.0000  2 Na 2.42
Cr2 0.5000 0.0000 0.0000  2 Na 2.42
Cd1 0.5000 0.5000 0.5000  4 Ti 3.42, 8 Cr 3.44

***

Entry 6:
Crystalline NaVCrCd2 at its relaxed geometry. Source: the Alexandria database, functional GGA-PBE.

Values from the calculation:
Crystal system = tetragonal
Space group = No. 123
Total DFT energy (no corrections) = -2.85 eV/atom

abc: 5.0695 5.0695 5.0614
angles: 90.00 90.00 90.00
Closest atoms and distances in Å follow each position.
Fractional positions:
Na1 0.0000 0.0000 0.0000  2 Cr 2.53
V1 0.5000 0.5000 0.0000  8 Cd 3.58, 4 Na 3.58
Cr1 0.0000 0.0000 0.5000  2 Na 2.53, 4 Cd 2.53
Cd1 0.0000 0.5000 0.5000  2 Cr 2.53
Cd2 0.5000 0.0000 0.5000  2 Cr 2.53